1.
## ZnSnMo2 (PBE)

Data for a relaxed ZnSnMo2 crystal.

Geometry as POSCAR:
```
ZnSnMo2
1.0
3.8608 0.0000 0.0000
0.0000 3.8608 0.0000
1.9304 1.9304 9.8714
Mo Zn Sn
4 2 2
Cartesian
1.1060 2.8956 2.4678
2.8956 3.0363 7.4035
4.8260 4.6852 7.4035
2.7548 0.9652 2.4678
1.9304 1.9304 0.0000
1.9304 3.8608 4.9357
3.8608 1.9304 4.9357
0.0000 0.0000 0.0000
```

Results
ΔE to the lowest computed polymorph, eV per atom: 0.110
Symmetry: I-42d (122)
Total energy, eV per atom: -6.21
Magnetic moment, μB per formula unit: 0.0
Theoretical density, g/cm³: 8.5
E_form, eV per atom: 0.5289

***

2.
## RbTb2Tm (PBE)

Data for a relaxed RbTb2Tm crystal.

Geometry as POSCAR:
```
RbTb2Tm
1.0
-3.4341 0.3427 -1.0439
-2.5650 -2.0014 1.5543
-3.8299 8.8705 9.2840
Tm Tb Rb
1 2 1
Cartesian
-4.9145 3.6059 4.8972
-3.2983 6.1336 6.6370
-6.5307 1.0781 3.1573
0.0000 0.0000 0.0000
```

Results
Symmetry: R-3m (166)
Total energy, eV per atom: -3.38
Magnetic moment, μB per formula unit: 0.0
Theoretical density, g/cm³: 6.4
E_form, eV per atom: 0.2922

***

3.
## SrLiCeTe3 (PBE)

Data for a relaxed SrLiCeTe3 crystal.

Geometry as POSCAR:
```
SrLiCeTe3
1.0
4.5213 0.0000 0.0000
0.0000 9.3800 0.1798
0.0000 -2.2932 9.5482
Te Li Ce Sr
6 2 2 2
Cartesian
3.3910 0.8861 4.8725
3.3910 3.6545 1.6986
1.1303 6.2008 4.8555
1.1303 -1.0492 8.3202
3.3910 8.1360 1.4078
1.1303 3.4323 8.0294
3.3910 7.6399 4.1286
1.1303 -0.5531 5.5994
3.3910 1.1840 8.0249
1.1303 5.9028 1.7031
1.1303 1.1676 2.2740
3.3910 5.9193 7.4540
```

Results
Symmetry: P2_1/m (11)
Total energy, eV per atom: -4.54
Magnetic moment, μB per formula unit: 1.0
Theoretical density, g/cm³: 5.0
Formation energy without anion corrections, meV per atom: -1378